# SiMoN2O PBE with a Hubbard U relaxed
# Total DFT energy (no corrections) in Ha/atom: -0.259
data_SiMoN2O
_chemical_formula_sum 'Si1 Mo1 N2 O1'
_space_group_name_H-M_alt 'P 4/m m m'
_space_group_IT_number 123
_space_group_name_Hall '-P 4 2'
_cell_length_a 3.730
_cell_length_b 3.730
_cell_length_c 3.399
_cell_angle_alpha 90.00
_cell_angle_beta 90.00
_cell_angle_gamma 90.00
loop_
_atom_site_label
_atom_site_type_symbol
_atom_site_fract_x
_atom_site_fract_y
_atom_site_fract_z
_atom_site_occupancy
Si1 Si 0.000 0.000 0.000 1
Mo1 Mo 0.500 0.500 0.500 1
N1 N 0.000 0.500 0.000 1
O1 O 0.000 0.000 0.500 1